1.
Density functional theory data (PBE) for a relaxed Te2RhF crystal.

a b c (Å): 5.9175 5.9175 7.3250
angles (deg): 66.18 66.18 90.00
Closest atoms and distances in Å follow each position.
Fractional coordinates of all 8 atoms:
Rh 0.0000 0.0000 0.0000  4 Te 2.51
Rh 0.7500 0.2500 0.5000  4 Te 2.51
Te 0.8750 0.8963 0.7500  2 Rh 2.51, 2 F 2.65
Te 0.1037 0.6250 0.2500  2 Rh 2.51, 2 F 2.65
Te 0.6463 0.1250 0.2500  2 Rh 2.51, 2 F 2.65
Te 0.3750 0.3537 0.7500  2 Rh 2.51, 2 F 2.65
F 0.5000 0.5000 0.0000  4 Te 2.65
F 0.2500 0.7500 0.5000  4 Te 2.65

Summary:
Crystal system: tetragonal
ΔE to the lowest computed polymorph (eV/atom): 0.316
Space group: I-42d
Calculated volume (Å³ per cell): 210.5
Density (g cm⁻³): 5.95
Formation energy from raw total energies (eV per atom): -0.432
Total moment (Bohr magnetons per cell): 0.000

2.
Density functional theory data (PBE) for a relaxed Er3CuAg2 crystal.

a b c (Å): 3.5300 3.5300 10.7766
angles (deg): 90.00 90.00 90.00
Closest atoms and distances in Å follow each position.
Fractional coordinates of all 6 atoms:
Er 0.0000 0.0000 0.0000  8 Ag 3.10
Er 0.0000 0.0000 0.3443  4 Cu 3.01, 4 Ag 3.12, 1 Er 3.36
Er 0.0000 0.0000 0.6557  4 Cu 3.01, 4 Ag 3.12, 1 Er 3.36
Cu 0.5000 0.5000 0.5000  8 Er 3.01
Ag 0.5000 0.5000 0.1712  8 Er 3.10-3.12
Ag 0.5000 0.5000 0.8288  8 Er 3.10-3.12

Summary:
Crystal system: tetragonal
Space group: P4/mmm
Energy of formation from the pure elements (eV per atom): -0.3140
Calculated volume (Å³ per cell): 134.3
Density (g cm⁻³): 9.66
Total moment (Bohr magnetons per cell): 0.000

3.
Density functional theory data (PBE) for a relaxed Hf5TiC5 crystal.

a b c (Å): 4.5938 5.6197 6.5294
angles (deg): 106.81 90.00 114.12
Closest atoms and distances in Å follow each position.
Fractional coordinates of all 11 atoms:
Hf 0.6692 0.3383 0.8447  5 C 2.24-2.34
Hf 0.6731 0.3462 0.3267  5 C 2.23-2.33
Hf 0.3308 0.6617 0.1553  5 C 2.24-2.34
Hf 0.0000 0.0000 0.5000  4 C 2.29-2.30
Hf 0.3269 0.6538 0.6733  5 C 2.23-2.33
C 0.8353 0.6707 0.6691  1 Ti 2.28, 5 Hf 2.29-2.34
C 0.1647 0.3293 0.3309  1 Ti 2.28, 5 Hf 2.29-2.34
C 0.5000 0.0000 0.0000  4 Hf 2.27-2.30, 2 Ti 2.30
C 0.8348 0.6696 0.1655  5 Hf 2.23-2.30, 1 Ti 2.28
C 0.1652 0.3304 0.8345  5 Hf 2.23-2.30, 1 Ti 2.28
Ti 0.0000 0.0000 0.0000  6 C 2.28-2.30

Summary:
Crystal system: monoclinic
Space group: C2/m
Energy of formation from the pure elements (eV per atom): -0.8142
Calculated volume (Å³ per cell): 145.9
Density (g cm⁻³): 11.38
Total moment (Bohr magnetons per cell): 0.000

4.
Density functional theory data (PBE) for a relaxed Tb2O3 crystal.

a b c (Å): 5.3823 5.3823 5.3823
angles (deg): 90.00 90.00 90.00
Closest atoms and distances in Å follow each position.
Fractional coordinates of all 10 atoms:
O 0.5000 0.0000 0.0000  4 Tb 2.33
O 0.5000 0.5000 0.0000  4 Tb 2.33
O 0.0000 0.5000 0.0000  4 Tb 2.33
O 0.0000 0.0000 0.5000  4 Tb 2.33
O 0.0000 0.5000 0.5000  4 Tb 2.33
O 0.5000 0.0000 0.5000  4 Tb 2.33
Tb 0.7500 0.2500 0.7500  6 O 2.33
Tb 0.7500 0.7500 0.2500  6 O 2.33
Tb 0.2500 0.2500 0.2500  6 O 2.33
Tb 0.2500 0.7500 0.7500  6 O 2.33

Summary:
Crystal system: cubic
Space group: Pn-3m
Calculated volume (Å³ per cell): 155.9
Density (g cm⁻³): 7.79
Formation energy from raw total energies (eV per atom): -3.086
Total moment (Bohr magnetons per cell): 0.000

5.
Density functional theory data (PBE) for a relaxed K3AgBr6 crystal.

a b c (Å): 5.5253 12.0578 12.0578
angles (deg): 104.72 90.00 90.00
Closest atoms and distances in Å follow each position.
Fractional coordinates of all 20 atoms:
Ag 0.1268 0.2035 0.7965  5 Br 2.58-2.83
Ag 0.6268 0.7965 0.2035  5 Br 2.58-2.83
Br 0.6653 0.3294 0.3393  2 Br 2.77
Br 0.6652 0.6607 0.6706  2 Br 2.77
Br 0.1673 0.4348 0.8462  1 Ag 2.71
Br 0.1326 0.0682 0.9318  1 Ag 2.58
Br 0.1652 0.3393 0.3294  2 Br 2.77
Br 0.6372 0.1930 0.8070  2 Ag 2.71-2.83
Br 0.6326 0.9318 0.0682  1 Ag 2.58
Br 0.6673 0.5652 0.1538  1 Ag 2.71
Br 0.1652 0.6706 0.6607  2 Br 2.77
Br 0.1372 0.8070 0.1930  2 Ag 2.71-2.83
Br 0.6673 0.8462 0.4348  1 Ag 2.71
Br 0.1673 0.1538 0.5652  1 Ag 2.71
K 0.9125 0.0644 0.3195  6 Br 3.21-3.57, 1 Ag 3.55
K 0.9125 0.6805 0.9356  6 Br 3.21-3.57, 1 Ag 3.55
K 0.5988 0.3638 0.6362  5 Br 3.27-3.52
K 0.4125 0.3195 0.0644  6 Br 3.21-3.57, 1 Ag 3.55
K 0.0988 0.6362 0.3638  5 Br 3.27-3.52
K 0.4125 0.9356 0.6805  6 Br 3.21-3.57, 1 Ag 3.55

Summary:
Crystal system: orthorhombic
ΔE to the lowest computed polymorph (eV/atom): 0.000
Space group: Cmc2_1
Calculated volume (Å³ per cell): 777.0
Density (g cm⁻³): 3.01
Formation energy from raw total energies (eV per atom): -1.056
Total moment (Bohr magnetons per cell): 0.004

6.
Density functional theory data (PBE) for a relaxed NpTcS crystal.

a b c (Å): 3.9109 4.3748 6.3698
angles (deg): 90.00 90.00 90.00
Closest atoms and distances in Å follow each position.
Fractional coordinates of all 6 atoms:
S 0.5000 0.0000 0.6731  4 Tc 2.35-2.36
S 0.0000 0.5000 0.3269  4 Tc 2.35-2.36
Np 0.0000 0.0000 0.9848  4 S 2.79-3.09, 4 Np 2.94, 1 Tc 3.07
Np 0.5000 0.5000 0.0152  4 S 2.79-3.09, 4 Np 2.94, 1 Tc 3.07
Tc 0.5000 0.5000 0.5325  4 S 2.35-2.36
Tc 0.0000 0.0000 0.4675  4 S 2.35-2.36

Summary:
Crystal system: orthorhombic
Space group: Pmmn
Calculated volume (Å³ per cell): 109.0
Density (g cm⁻³): 11.19
Formation energy from raw total energies (eV per atom): -0.036
Total moment (Bohr magnetons per cell): 8.917

7.
Density functional theory data (PBE) for a relaxed Ba2CdSn crystal.

a b c (Å): 4.0673 4.0673 12.6133
angles (deg): 80.72 80.72 60.00
Closest atoms and distances in Å follow each position.
Fractional coordinates of all 4 atoms:
Cd 0.5000 0.5000 0.5000  6 Ba 3.59
Ba 0.0938 0.0938 0.7186  1 Sn 3.49, 3 Cd 3.59
Ba 0.9062 0.9062 0.2814  1 Sn 3.49, 3 Cd 3.59
Sn 0.0000 0.0000 0.0000  2 Ba 3.49

Summary:
Crystal system: trigonal
Space group: R-3m
Energy of formation from the pure elements (eV per atom): 0.1303
Calculated volume (Å³ per cell): 177.5
Density (g cm⁻³): 4.73
Total moment (Bohr magnetons per cell): 0.002

8.
Density functional theory data (PBE) for a relaxed NaPrPd crystal.

a b c (Å): 4.2204 4.2204 9.5887
angles (deg): 102.95 102.95 88.90
Closest atoms and distances in Å follow each position.
Fractional coordinates of all 6 atoms:
Pd 0.3459 0.3459 0.1924  5 Pr 3.00-3.05, 2 Na 3.14
Pd 0.6541 0.6541 0.8076  5 Pr 3.00-3.05, 2 Na 3.14
Na 0.7362 0.7362 0.5002  4 Na 2.85-3.18, 2 Pd 3.14
Na 0.2638 0.2638 0.4998  4 Na 2.85-3.18, 2 Pd 3.14
Pr 0.8192 0.8192 0.1391  5 Pd 3.00-3.05
Pr 0.1808 0.1808 0.8609  5 Pd 3.00-3.05

Summary:
Crystal system: orthorhombic
Space group: Fmmm
Energy of formation from the pure elements (eV per atom): -0.3578
Calculated volume (Å³ per cell): 162.1
Density (g cm⁻³): 5.54
Total moment (Bohr magnetons per cell): 0.000

9.
Density functional theory data (PBE) for a relaxed Sm2TiTe crystal.

a b c (Å): 3.7401 3.7401 10.5100
angles (deg): 79.75 79.75 60.00
Closest atoms and distances in Å follow each position.
Fractional coordinates of all 4 atoms:
Ti 0.0000 0.0000 0.0000  2 Sm 2.95
Sm 0.9043 0.9043 0.2870  1 Ti 2.95, 3 Te 3.08
Sm 0.0957 0.0957 0.7130  1 Ti 2.95, 3 Te 3.08
Te 0.5000 0.5000 0.5000  6 Sm 3.08

Summary:
Crystal system: trigonal
Space group: R-3m
Calculated volume (Å³ per cell): 124.6
Density (g cm⁻³): 6.35
Formation energy from raw total energies (eV per atom): 0.095
Total moment (Bohr magnetons per cell): 1.671